Here is a geometry-optimized Mn2NiRh structure from Alexandria via LeMat-Bulk. Energies are from GGA-PBE.

Structure (CIF):
```
data_Mn2NiRh
_cell_length_a 8.530
_cell_length_b 2.613
_cell_length_c 4.391
_cell_angle_alpha 90.00
_cell_angle_beta 100.55
_cell_angle_gamma 90.00
_symmetry_space_group_name_H-M 'C 1 2/m 1'
_symmetry_Int_Tables_number 12
loop_
_symmetry_equiv_pos_as_xyz
'x,y,z'
'-x,-y,-z'
'-x,y,-z'
'x,-y,z'
'x+1/2,y+1/2,z'
'-x+1/2,-y+1/2,-z'
'-x+1/2,y+1/2,-z'
'x+1/2,-y+1/2,z'
loop_
_atom_site_label
_atom_site_type_symbol
_atom_site_fract_x
_atom_site_fract_y
_atom_site_fract_z
Mn1 Mn 0.247 0.000 0.239
Ni1 Ni 0.000 0.500 0.000
Rh1 Rh 0.000 0.000 0.500
```

## Properties
- Energy: -7.7826 eV/atom
- Formation energy from the elements: 85 meV/atom



Here is a geometry-optimized Tl2InI6 structure from Alexandria via LeMat-Bulk. Energies are from GGA-PBE.

Structure (CIF):
```
data_Tl2InI6
_cell_length_a 7.807
_cell_length_b 8.244
_cell_length_c 13.692
_cell_angle_alpha 90.00
_cell_angle_beta 122.08
_cell_angle_gamma 90.00
_symmetry_space_group_name_H-M 'P 1 21/c 1'
_symmetry_Int_Tables_number 14
loop_
_symmetry_equiv_pos_as_xyz
'x,y,z'
'-x,-y,-z'
'-x,y+1/2,-z+1/2'
'x,-y+1/2,z+1/2'
loop_
_atom_site_label
_atom_site_type_symbol
_atom_site_fract_x
_atom_site_fract_y
_atom_site_fract_z
Tl1 Tl 0.183 0.088 0.232
In1 In 0.500 0.000 0.000
I1 I 0.147 0.197 0.954
I2 I 0.266 0.697 0.946
I3 I 0.375 0.030 0.756
```

## Properties
- Formation energy without anion corrections: -42 kJ/mol of atoms
- Polymorph energy (0 for the lowest one): 0.00 eV/f.u.
- Energy: -2.3024 eV/atom



Here is a geometry-optimized Cd12SnAu6 structure from Alexandria via LeMat-Bulk. Energies are from GGA-PBE.

Structure (CIF):
```
data_Cd12SnAu6
_cell_length_a 10.0795
_cell_length_b 10.0795
_cell_length_c 13.8184
_cell_angle_alpha 90.00
_cell_angle_beta 90.00
_cell_angle_gamma 120.00
_symmetry_space_group_name_H-M 'R -3'
_symmetry_Int_Tables_number 148
_symmetry_space_group_name_Hall '-R 3'
loop_
_atom_site_label
_atom_site_type_symbol
_atom_site_fract_x
_atom_site_fract_y
_atom_site_fract_z
Cd1 Cd 0.0640 0.2361 0.4197
Cd2 Cd 0.0678 0.8785 0.7876
Sn1 Sn 0.0000 0.0000 0.0000
Au1 Au 0.0259 0.5926 0.7187
```

## Properties
- Polymorph energy (0 for the lowest one): 0.00 eV/f.u.
- Energy: -1.9389 eV/atom
- Formation energy from the elements: -115 meV/atom



Here is a geometry-optimized K2YRe structure from Alexandria via LeMat-Bulk. Energies are from GGA-PBE.

Structure (CIF):
```
data_K2YRe
_cell_length_a 21.390
_cell_length_b 3.279
_cell_length_c 4.622
_cell_angle_alpha 90.00
_cell_angle_beta 102.29
_cell_angle_gamma 90.00
_symmetry_space_group_name_H-M 'C 1 2/m 1'
_symmetry_Int_Tables_number 12
loop_
_symmetry_equiv_pos_as_xyz
'x,y,z'
'-x,-y,-z'
'-x,y,-z'
'x,-y,z'
'x+1/2,y+1/2,z'
'-x+1/2,-y+1/2,-z'
'-x+1/2,y+1/2,-z'
'x+1/2,-y+1/2,z'
loop_
_atom_site_label
_atom_site_type_symbol
_atom_site_fract_x
_atom_site_fract_y
_atom_site_fract_z
K1 K 0.151 0.000 0.148
Y1 Y 0.000 0.000 0.500
Re1 Re 0.000 0.500 0.000
```

## Properties
- Polymorph energy (0 for the lowest one): 0.00 eV/f.u.
- Energy: -4.4949 eV/atom
- Formation energy from the elements: 782 meV/atom



Here is a geometry-optimized Tl2PtPbSe structure from Alexandria via LeMat-Bulk. Energies are from GGA-PBE.

Structure (CIF):
```
data_Tl2PtPbSe
_cell_length_a 5.278
_cell_length_b 5.278
_cell_length_c 5.464
_cell_angle_alpha 90.00
_cell_angle_beta 90.00
_cell_angle_gamma 90.00
_symmetry_space_group_name_H-M 'P 4/m m m'
_symmetry_Int_Tables_number 123
_symmetry_space_group_name_Hall '-P 4 2'
loop_
_atom_site_label
_atom_site_type_symbol
_atom_site_fract_x
_atom_site_fract_y
_atom_site_fract_z
Tl1 Tl 0.000 0.500 0.000
Pt1 Pt 0.000 0.000 0.000
Pb1 Pb 0.000 0.000 0.500
Se1 Se 0.500 0.500 0.500
```

## Properties
- Formation energy without anion corrections: -12 kJ/mol of atoms
- Polymorph energy (0 for the lowest one): 0.00 eV/f.u.
- Energy: -3.7161 eV/atom



Here is a geometry-optimized AlHg2Sb structure from Alexandria via LeMat-Bulk. Energies are from GGA-PBE.

Structure (CIF):
```
data_AlHg2Sb
_cell_length_a 4.043
_cell_length_b 5.192
_cell_length_c 9.347
_cell_angle_alpha 90.00
_cell_angle_beta 90.00
_cell_angle_gamma 90.00
_symmetry_space_group_name_H-M 'C m m 2'
_symmetry_Int_Tables_number 35
loop_
_symmetry_equiv_pos_as_xyz
'x,y,z'
'-x,-y,z'
'-x,y,z'
'x,-y,z'
'x+1/2,y+1/2,z'
'-x+1/2,-y+1/2,z'
'-x+1/2,y+1/2,z'
'x+1/2,-y+1/2,z'
loop_
_atom_site_label
_atom_site_type_symbol
_atom_site_fract_x
_atom_site_fract_y
_atom_site_fract_z
Al1 Al 0.000 0.000 0.000
Hg1 Hg 0.000 0.000 0.479
Hg2 Hg 0.000 0.500 0.214
Sb1 Sb 0.000 0.500 0.774
```

## Properties
- Formation energy without anion corrections: 14 kJ/mol of atoms
- Polymorph energy (0 for the lowest one): 0.32 eV/f.u.
- Energy: -1.9728 eV/atom



Here is a geometry-optimized V5Ga7 structure from Alexandria via LeMat-Bulk. Energies are from GGA-PBE.

Structure (CIF):
```
data_V5Ga7
_cell_length_a 9.004
_cell_length_b 3.560
_cell_length_c 11.542
_cell_angle_alpha 90.00
_cell_angle_beta 92.06
_cell_angle_gamma 90.00
_symmetry_space_group_name_H-M 'C 1 2/m 1'
_symmetry_Int_Tables_number 12
loop_
_symmetry_equiv_pos_as_xyz
'x,y,z'
'-x,-y,-z'
'-x,y,-z'
'x,-y,z'
'x+1/2,y+1/2,z'
'-x+1/2,-y+1/2,-z'
'-x+1/2,y+1/2,-z'
'x+1/2,-y+1/2,z'
loop_
_atom_site_label
_atom_site_type_symbol
_atom_site_fract_x
_atom_site_fract_y
_atom_site_fract_z
V1 V 0.000 0.000 0.000
V2 V 0.103 0.500 0.156
V3 V 0.203 0.000 0.561
Ga1 Ga 0.000 0.500 0.500
Ga2 Ga 0.111 0.000 0.774
Ga3 Ga 0.131 0.000 0.335
Ga4 Ga 0.199 0.500 0.923
```

## Properties
- Energy: -5.6286 eV/atom
- Formation energy from the elements: -63 meV/atom



Here is a geometry-optimized MgTaIn2Pt structure from Alexandria via LeMat-Bulk. Energies are from GGA-PBE.

Structure (CIF):
```
data_MgTaIn2Pt
_cell_length_a 5.423
_cell_length_b 5.423
_cell_length_c 4.890
_cell_angle_alpha 90.00
_cell_angle_beta 90.00
_cell_angle_gamma 90.00
_symmetry_space_group_name_H-M 'P 4/m m m'
_symmetry_Int_Tables_number 123
_symmetry_space_group_name_Hall '-P 4 2'
loop_
_atom_site_label
_atom_site_type_symbol
_atom_site_fract_x
_atom_site_fract_y
_atom_site_fract_z
Mg1 Mg 0.000 0.000 0.000
Ta1 Ta 0.500 0.500 0.500
In1 In 0.000 0.500 0.500
Pt1 Pt 0.500 0.500 0.000
```

## Properties
- Energy: -4.3630 eV/atom
- Formation energy from the elements: 630 meV/atom



Here is a geometry-optimized CaCoS2 structure from Alexandria via LeMat-Bulk. Energies are from GGA-PBE.

Structure (CIF):
```
data_CaCoS2
_cell_length_a 5.736
_cell_length_b 5.736
_cell_length_c 10.607
_cell_angle_alpha 90.00
_cell_angle_beta 90.00
_cell_angle_gamma 90.00
_symmetry_space_group_name_H-M 'I -4 2 d'
_symmetry_Int_Tables_number 122
_symmetry_space_group_name_Hall 'I -4 2bw'
loop_
_atom_site_label
_atom_site_type_symbol
_atom_site_fract_x
_atom_site_fract_y
_atom_site_fract_z
Ca1 Ca 0.000 0.000 0.000
Co1 Co 0.000 0.000 0.500
S1 S 0.166 0.250 0.625
```

## Properties
- Formation energy without anion corrections: -87 kJ/mol of atoms
- Polymorph energy (0 for the lowest one): 0.00 eV/f.u.
- Energy: -5.2471 eV/atom



Here is a geometry-optimized Be5Co6B structure from Alexandria via LeMat-Bulk. Energies are from GGA-PBE.

Structure (CIF):
```
data_Be5Co6B
_cell_length_a 3.631
_cell_length_b 10.904
_cell_length_c 5.144
_cell_angle_alpha 90.00
_cell_angle_beta 90.00
_cell_angle_gamma 90.00
_symmetry_space_group_name_H-M 'C m m m'
_symmetry_Int_Tables_number 65
_symmetry_space_group_name_Hall '-C 2 2'
loop_
_atom_site_label
_atom_site_type_symbol
_atom_site_fract_x
_atom_site_fract_y
_atom_site_fract_z
Be1 Be 0.000 0.000 0.000
Be2 Be 0.000 0.326 0.500
Be3 Be 0.000 0.332 0.000
Co1 Co 0.000 0.161 0.254
Co2 Co 0.000 0.500 0.262
B1 B 0.000 0.000 0.500
```

## Properties
- Energy: -5.9890 eV/atom
- Formation energy from the elements: -327 meV/atom



Here is a geometry-optimized YMoPb2 structure from Alexandria via LeMat-Bulk. Energies are from GGA-PBE.

Structure (CIF):
```
data_YMoPb2
_cell_length_a 3.544
_cell_length_b 3.544
_cell_length_c 7.530
_cell_angle_alpha 90.00
_cell_angle_beta 90.00
_cell_angle_gamma 90.00
_symmetry_space_group_name_H-M 'P 4/m m m'
_symmetry_Int_Tables_number 123
_symmetry_space_group_name_Hall '-P 4 2'
loop_
_atom_site_label
_atom_site_type_symbol
_atom_site_fract_x
_atom_site_fract_y
_atom_site_fract_z
Y1 Y 0.000 0.000 0.000
Mo1 Mo 0.000 0.000 0.500
Pb1 Pb 0.500 0.500 0.286
```

## Properties
- Polymorph energy (0 for the lowest one): 0.09 eV/f.u.
- Energy: -5.9563 eV/atom
- Formation energy from the elements: 222 meV/atom



Here is a geometry-optimized In2FeAs structure from Alexandria via LeMat-Bulk. Energies are from GGA-PBE.

Structure (CIF):
```
data_In2FeAs
_cell_length_a 7.797
_cell_length_b 7.797
_cell_length_c 5.710
_cell_angle_alpha 90.00
_cell_angle_beta 90.00
_cell_angle_gamma 90.00
_symmetry_space_group_name_H-M 'I -4 2 d'
_symmetry_Int_Tables_number 122
_symmetry_space_group_name_Hall 'I -4 2bw'
loop_
_atom_site_label
_atom_site_type_symbol
_atom_site_fract_x
_atom_site_fract_y
_atom_site_fract_z
In1 In 0.247 0.250 0.125
Fe1 Fe 0.000 0.000 0.000
As1 As 0.000 0.000 0.500
```

## Properties
- Energy: -4.2063 eV/atom
- Formation energy from the elements: 441 meV/atom



Here is a geometry-optimized Ca2PuTiAs4 structure from Alexandria via LeMat-Bulk. Energies are from GGA-PBE.

Structure (CIF):
```
data_Ca2PuTiAs4
_cell_length_a 6.924
_cell_length_b 4.034
_cell_length_c 7.151
_cell_angle_alpha 90.00
_cell_angle_beta 108.70
_cell_angle_gamma 90.00
_symmetry_space_group_name_H-M 'P 1 2/m 1'
_symmetry_Int_Tables_number 10
loop_
_symmetry_equiv_pos_as_xyz
'x,y,z'
'-x,-y,-z'
'-x,y,-z'
'x,-y,z'
loop_
_atom_site_label
_atom_site_type_symbol
_atom_site_fract_x
_atom_site_fract_y
_atom_site_fract_z
Ca1 Ca 0.000 0.000 0.000
Ca2 Ca 0.500 0.500 0.000
Pu1 Pu 0.000 0.500 0.500
Ti1 Ti 0.500 0.000 0.500
As1 As 0.259 0.000 0.724
As2 As 0.276 0.500 0.283
```

## Properties
- Energy: -6.5862 eV/atom
- Formation energy from the elements: -983 meV/atom